1.
Below is a relaxed BaSc3 crystal, with properties calculated at the GGA-PBE level.

Cell lengths 5.532, 6.174, 7.078 Å; angles 90.00, 90.00, 90.00 degrees
Fractional coordinates of all 8 atoms:
1 Ba 0.000 0.661 0.000
2 Ba 0.500 0.339 0.500
3 Sc 0.500 0.299 0.000
4 Sc 0.000 0.701 0.500
5 Sc 0.000 0.149 0.249
6 Sc 0.000 0.149 0.751
7 Sc 0.500 0.851 0.749
8 Sc 0.500 0.851 0.251

Computed properties:
* crystal system: orthorhombic
* DFT total energy: -19.55 eV per formula unit
* magnetization: 0.0 μB/f.u.
* energy above the lowest structure with this stoichiometry: 107 meV/atom
* ΔH_f (0 K): 0.3419 eV/atom

2.
Below is a relaxed MgTa2Se crystal, with properties calculated at the GGA-PBE level.

Cell lengths 5.524, 5.524, 4.765 Å; angles 64.37, 64.37, 34.37 degrees
Fractional coordinates of all 4 atoms:
1 Mg 0.250 0.250 0.250
2 Se 0.750 0.750 0.750
3 Ta 0.017 0.017 0.982
4 Ta 0.483 0.483 0.518

Computed properties:
* crystal system: monoclinic
* DFT total energy: -28.29 eV per formula unit
* magnetization: 0.0 μB/f.u.
* energy above the lowest structure with this stoichiometry: 137 meV/atom

3.
Below is a relaxed BaNiMo3 crystal, with properties calculated at the GGA-PBE level.

Cell lengths 4.901, 4.901, 4.901 Å; angles 90.00, 90.00, 90.00 degrees
Fractional coordinates of all 5 atoms:
1 Ni 0.500 0.500 0.500
2 Mo 0.000 0.500 0.000
3 Mo 0.000 0.000 0.500
4 Mo 0.500 0.000 0.000
5 Ba 0.000 0.000 0.000

Computed properties:
* crystal system: cubic
* DFT total energy: -23.59 eV per formula unit
* magnetization: 0.0 μB/f.u.
* energy above the lowest structure with this stoichiometry: 1853 meV/atom
* ΔH_f (0 K): 3.3208 eV/atom